DFT (PBE) results for a relaxed V2Os2Au crystal.

Cell: 3.9897 3.9897 10.6068 Å, 90.00 90.00 90.00°
Last column: nearest neighbours and their distance in Å.
Space group I4/mmm (No. 139)
One atom of each set of equivalent atoms:
V (0.0000, 0.5000, 0.2500) (multiplicity 4)  4 Os 2.43
Os (0.0000, 0.0000, 0.1196) (multiplicity 4)  4 V 2.43, 1 Os 2.54
Au (0.0000, 0.0000, 0.5000) (multiplicity 2)  8 Os 3.09, 8 V 3.32

Summary:
Energy of formation: 233 meV/atom
Relative energy among the computed polymorphs: 21.7 kJ/mol of atoms

***

DFT (PBE) results for a relaxed V3OsAu crystal.

Cell: 4.5682 4.5682 4.5682 Å, 90.00 90.00 90.00°
Last column: nearest neighbours and their distance in Å.
Space group Pm-3m (No. 221)
One atom of each set of equivalent atoms:
V (0.0000, 0.0000, 0.5000) (multiplicity 3)  2 Os 2.28
Os (0.0000, 0.0000, 0.0000) (multiplicity 1)  6 V 2.28
Au (0.5000, 0.5000, 0.5000) (multiplicity 1)  12 V 3.23

Summary:
Energy of formation: 992 meV/atom
Relative energy among the computed polymorphs: 0.0 kJ/mol of atoms

***

DFT (PBE) results for a relaxed V2Os2Au crystal.

Cell: 7.2787 7.2787 2.8690 Å, 90.00 90.00 90.00°
Last column: nearest neighbours and their distance in Å.
Space group P4/mbm (No. 127)
One atom of each set of equivalent atoms:
V (0.1566, 0.3434, 0.0000) (multiplicity 4)  6 Os 2.56-2.58
Os (0.1375, 0.6375, 0.5000) (multiplicity 4)  6 V 2.56-2.58, 2 Au 2.82, 1 Os 2.83
Au (0.0000, 0.0000, 0.5000) (multiplicity 2)  4 Os 2.82, 2 Au 2.87, 8 V 3.10

Summary:
Energy of formation: 8 meV/atom
Relative energy among the computed polymorphs: 0.0 kJ/mol of atoms

***

DFT (PBE) results for a relaxed OsWAu crystal.

Cell: 6.1039 6.1039 6.1039 Å, 90.00 90.00 90.00°
Last column: nearest neighbours and their distance in Å.
Space group F-43m (No. 216)
One atom of each set of equivalent atoms:
Os (0.0000, 0.0000, 0.0000) (multiplicity 4)  4 W 2.64, 4 Au 2.64
W (0.2500, 0.2500, 0.2500) (multiplicity 4)  4 Os 2.64
Au (0.2500, 0.2500, 0.7500) (multiplicity 4)  4 Os 2.64

Summary:
Energy of formation: 813 meV/atom
Relative energy among the computed polymorphs: 51.6 kJ/mol of atoms

***

DFT (PBE) results for a relaxed Os3WAu crystal.

Cell: 4.7210 4.7210 4.7210 Å, 90.00 90.00 90.00°
Last column: nearest neighbours and their distance in Å.
Space group Pm-3m (No. 221)
One atom of each set of equivalent atoms:
Os (0.0000, 0.0000, 0.5000) (multiplicity 3)  2 W 2.36
W (0.0000, 0.0000, 0.0000) (multiplicity 1)  6 Os 2.36
Au (0.5000, 0.5000, 0.5000) (multiplicity 1)  12 Os 3.34

Summary:
Energy of formation: 2304 meV/atom
Relative energy among the computed polymorphs: 0.0 kJ/mol of atoms

***

DFT (PBE) results for a relaxed OsWAu2 crystal.

Cell: 2.8661 4.7069 9.9069 Å, 90.00 90.00 90.00°
Last column: nearest neighbours and their distance in Å.
Space group Cmmm (No. 65)
One atom of each set of equivalent atoms:
Os (0.0000, 0.0000, 0.0000) (multiplicity 2)  6 Os 2.76-2.87, 4 Au 2.86
W (0.0000, 0.0000, 0.5000) (multiplicity 2)  6 W 2.76-2.87, 4 Au 2.86
Au (0.0000, 0.5000, 0.2502) (multiplicity 4)  6 Au 2.76-2.87, 2 W 2.86, 2 Os 2.86

Summary:
Energy of formation: 682 meV/atom
Relative energy among the computed polymorphs: 44.9 kJ/mol of atoms

***

DFT (PBE) results for a relaxed OsWAu2 crystal.

Cell: 2.8222 2.8222 28.9023 Å, 90.00 90.00 120.00°
Last column: nearest neighbours and their distance in Å.
Space group R3m (No. 160, hexagonal axes)
One atom of each set of equivalent atoms:
Os (0.0000, 0.0000, 0.0000) (multiplicity 3)  3 W 2.66, 6 Os 2.82
W (0.0000, 0.0000, 0.7393) (multiplicity 3)  3 Os 2.66, 6 W 2.82, 3 Au 2.95
Au (0.0000, 0.0000, 0.2469) (multiplicity 3)  9 Au 2.82-3.05, 3 Os 2.98
Au (0.0000, 0.0000, 0.4910) (multiplicity 3)  9 Au 2.82-3.05, 3 W 2.95

Summary:
Energy of formation: 217 meV/atom
Relative energy among the computed polymorphs: 0.0 kJ/mol of atoms

***

DFT (PBE) results for a relaxed OsW3Au crystal.

Cell: 4.7369 4.7369 4.7369 Å, 90.00 90.00 90.00°
Last column: nearest neighbours and their distance in Å.
Space group Pm-3m (No. 221)
One atom of each set of equivalent atoms:
Os (0.0000, 0.0000, 0.0000) (multiplicity 1)  12 W 3.35
W (0.0000, 0.5000, 0.5000) (multiplicity 3)  2 Au 2.37
Au (0.5000, 0.5000, 0.5000) (multiplicity 1)  6 W 2.37

Summary:
Energy of formation: 3067 meV/atom
Relative energy among the computed polymorphs: 110.8 kJ/mol of atoms

***

DFT (PBE) results for a relaxed OsWAu2 crystal.

Cell: 2.8547 2.8547 8.2058 Å, 90.00 90.00 90.00°
Last column: nearest neighbours and their distance in Å.
Space group P4mm (No. 99)
One atom of each set of equivalent atoms:
Os (0.0000, 0.0000, 0.0000) (multiplicity 1)  4 W 2.64, 4 Os 2.85, 4 Au 2.94
W (0.5000, 0.5000, 0.2072) (multiplicity 1)  4 Os 2.64, 4 W 2.85, 4 Au 2.93
Au (0.0000, 0.0000, 0.4656) (multiplicity 1)  8 Au 2.85-3.02, 4 W 2.93
Au (0.5000, 0.5000, 0.7394) (multiplicity 1)  8 Au 2.85-3.02, 4 Os 2.94

Summary:
Energy of formation: 246 meV/atom
Relative energy among the computed polymorphs: 2.8 kJ/mol of atoms

***

DFT (PBE) results for a relaxed OsWAu2 crystal.

Cell: 9.6349 2.8559 4.8137 Å, 90.00 99.91 90.00°
Last column: nearest neighbours and their distance in Å.
Space group C2/m (No. 12)
One atom of each set of equivalent atoms:
Os (0.0000, 0.0000, 0.0000) (multiplicity 2)  4 W 2.80, 2 Os 2.86, 6 Au 2.88
W (0.0000, 0.5000, 0.5000) (multiplicity 2)  4 Os 2.80, 2 W 2.86, 6 Au 2.87-2.88
Au (0.2500, 0.0000, 0.7482) (multiplicity 4)  6 Au 2.78-2.86, 3 W 2.87-2.88, 3 Os 2.88

Summary:
Energy of formation: 482 meV/atom
Relative energy among the computed polymorphs: 25.6 kJ/mol of atoms

***

DFT (PBE) results for a relaxed Os2WAu crystal.

Cell: 3.9989 3.9989 7.7183 Å, 90.00 90.00 90.00°
Last column: nearest neighbours and their distance in Å.
Space group I4/mmm (No. 139)
One atom of each set of equivalent atoms:
Os (0.0000, 0.5000, 0.2500) (multiplicity 4)  4 W 2.78, 4 Au 2.78, 4 Os 2.83
W (0.0000, 0.0000, 0.0000) (multiplicity 2)  8 Os 2.78, 4 Au 2.83
Au (0.0000, 0.0000, 0.5000) (multiplicity 2)  8 Os 2.78, 4 W 2.83

Summary:
Energy of formation: 366 meV/atom
Relative energy among the computed polymorphs: 9.2 kJ/mol of atoms

***

DFT (PBE) results for a relaxed OsWAu crystal.

Cell: 2.8164 2.8164 7.0425 Å, 90.00 90.00 120.00°
Last column: nearest neighbours and their distance in Å.
Space group P3m1 (No. 156)
One atom of each set of equivalent atoms:
Os (0.0000, 0.0000, 0.0000) (multiplicity 1)  3 W 2.66, 6 Os 2.82, 3 Au 2.96
W (0.3333, 0.6667, 0.2990) (multiplicity 1)  3 Os 2.66, 6 W 2.82, 3 Au 2.95
Au (0.6667, 0.3333, 0.6488) (multiplicity 1)  6 Au 2.82, 3 W 2.95, 3 Os 2.96

Summary:
Energy of formation: 278 meV/atom
Relative energy among the computed polymorphs: 0.0 kJ/mol of atoms

***

DFT (PBE) results for a relaxed Os2WAu crystal.

Cell: 9.3533 2.8048 4.8198 Å, 90.00 100.24 90.00°
Last column: nearest neighbours and their distance in Å.
Space group Cm (No. 8)
One atom of each set of equivalent atoms:
Os (0.0000, 0.0000, 0.0000) (multiplicity 2)  5 Os 2.66-2.86, 4 W 2.67-2.92, 3 Au 2.80-2.92
Os (0.2347, 0.5000, 0.2192) (multiplicity 2)  5 Os 2.66-2.86, 4 Au 2.77-2.81, 3 W 2.79-2.82
W (0.4826, 0.0000, 0.4636) (multiplicity 2)  7 Os 2.67-2.92, 3 Au 2.79-2.87, 2 W 2.80
Au (0.2395, 0.0000, 0.7249) (multiplicity 2)  7 Os 2.77-2.92, 3 W 2.79-2.87, 2 Au 2.80

Summary:
Energy of formation: 368 meV/atom
Relative energy among the computed polymorphs: 9.4 kJ/mol of atoms

***

DFT (PBE) results for a relaxed OsWAu2 crystal.

Cell: 6.3971 6.3971 6.3971 Å, 90.00 90.00 90.00°
Last column: nearest neighbours and their distance in Å.
Space group Fm-3m (No. 225)
One atom of each set of equivalent atoms:
Os (0.0000, 0.0000, 0.0000) (multiplicity 4)  8 Au 2.77
W (0.0000, 0.0000, 0.5000) (multiplicity 4)  8 Au 2.77
Au (0.2500, 0.2500, 0.2500) (multiplicity 8)  4 W 2.77, 4 Os 2.77

Summary:
Energy of formation: 792 meV/atom
Relative energy among the computed polymorphs: 55.5 kJ/mol of atoms

***

DFT (PBE) results for a relaxed Os2WAu crystal.

Cell: 2.8218 4.6826 4.7750 Å, 90.00 90.00 90.00°
Last column: nearest neighbours and their distance in Å.
Space group Pmmm (No. 47)
One atom of each set of equivalent atoms:
Os (0.0000, 0.0000, 0.0000) (multiplicity 1)  4 Au 2.73, 6 Os 2.77-2.82
Os (0.5000, 0.0000, 0.5000) (multiplicity 1)  4 W 2.73, 6 Os 2.77-2.82
W (0.0000, 0.5000, 0.5000) (multiplicity 1)  4 Os 2.73, 4 Au 2.77, 2 W 2.82
Au (0.5000, 0.5000, 0.0000) (multiplicity 1)  4 Os 2.73, 4 W 2.77, 2 Au 2.82

Summary:
Energy of formation: 694 meV/atom
Relative energy among the computed polymorphs: 40.9 kJ/mol of atoms